No. 1
# TbY2Sc

An optimized crystal structure of TbY2Sc (GGA-PBE, Alexandria).

The structure in extended XYZ format:
```
4
Lattice="-2.8001 0.5933 -2.1380 -0.9713 -5.6401 -3.2720 -0.7266 0.5187 7.0569" Properties=species:S:1:pos:R:3 pbc="T T T"
Tb -1.7694 -0.1337 5.6019
Y -1.3707 -0.2544 2.0656
Y -2.8990 -2.8986 0.3538
Sc -2.5063 -3.1524 -3.2092
```

## Properties
Space group: Cm (8)
Crystal system: monoclinic
Formation energy: 0.027 eV per atom
Polymorph energy (0 for the lowest one): 0.01 eV/f.u.

***

No. 2
# Tb6Y8Sc

An optimized crystal structure of Tb6Y8Sc (GGA-PBE, Alexandria).

The structure in extended XYZ format:
```
15
Lattice="-6.6812 3.6984 -6.0177 0.2581 -2.1692 -9.4740 -5.5738 -4.1193 -4.1976" Properties=species:S:1:pos:R:3 pbc="T T T"
Tb -7.7021 -4.6085 -15.2084
Tb -0.5409 -0.5012 -3.2150
Tb -1.9102 -0.4231 -7.7050
Tb -10.0867 -2.1671 -11.9843
Tb -11.4560 -2.0890 -16.4743
Tb -4.2947 2.0183 -4.4809
Y -4.9960 -1.2144 -6.3521
Y -7.9712 0.5763 -7.4331
Y -3.1559 -3.2646 -8.7263
Y -5.0717 -0.0454 -10.1055
Y -6.9252 -2.5448 -9.5838
Y -8.8410 0.6744 -10.9630
Y -4.0257 -3.1665 -12.2562
Y -7.0008 -1.3758 -13.3372
Sc 0.0000 0.0000 0.0000
```

## Properties
Space group: R-3 (148)
Crystal system: trigonal
Formation energy: 0.185 eV per atom
Polymorph energy (0 for the lowest one): 0.65 eV/f.u.

***

No. 3
# TbY3Sc8

An optimized crystal structure of TbY3Sc8 (GGA-PBE, Alexandria).

The structure in extended XYZ format:
```
12
Lattice="7.8794 -0.2094 -0.3328 -3.3107 7.1532 0.3328 -3.3107 -2.7967 6.5923" Properties=species:S:1:pos:R:3 pbc="T T T"
Tb 0.0000 0.0000 0.0000
Y 0.6290 4.5611 1.7313
Y 0.6290 -0.4139 4.8610
Y -3.3107 2.1783 3.4625
Sc 2.3144 0.8916 1.4172
Sc -0.8619 3.1277 4.9718
Sc -3.4079 4.8028 1.9533
Sc -3.4079 -0.3184 5.1751
Sc -0.4720 1.5566 2.4743
Sc 5.1188 0.3609 0.5737
Sc -5.0050 2.0470 6.0185
Sc -5.0050 4.5392 4.4507
```

## Properties
Space group: I-42m (121)
Crystal system: tetragonal
Formation energy: 0.691 eV per atom

***

No. 4
# Tb12Y7Sc

An optimized crystal structure of Tb12Y7Sc (GGA-PBE, Alexandria).

The structure in extended XYZ format:
```
20
Lattice="8.4082 1.2509 1.8775 -1.1364 8.4244 1.8775 -1.1364 -1.5120 8.4976" Properties=species:S:1:pos:R:3 pbc="T T T"
Tb 5.4500 2.0898 7.4362
Tb 5.6434 3.5409 4.0212
Tb 3.0057 0.8381 3.9612
Tb 6.1661 5.7094 7.8475
Tb 1.8321 1.2438 7.4600
Tb 3.7697 4.3494 9.9536
Tb 2.3656 3.8139 2.2991
Tb 4.3033 6.9194 4.7927
Tb -0.0307 2.4539 4.4052
Tb 3.1297 7.3252 8.2915
Tb 0.4920 4.6223 8.2315
Tb 0.6854 6.0735 4.8165
Y 7.5171 6.5692 3.9435
Y 1.9154 8.0086 2.3845
Y 7.1602 0.6342 4.6714
Y 3.0677 4.0816 6.1263
Y -1.0249 7.5290 7.5813
Y 4.2199 0.1546 9.8682
Y -1.3817 1.5940 8.3092
Sc 0.0000 0.0000 0.0000
```

## Properties
Space group: R-3 (148)
Crystal system: trigonal
Formation energy: 0.239 eV per atom
Polymorph energy (0 for the lowest one): 0.00 eV/f.u.

***

No. 5
# Tb2Y3Sc3

An optimized crystal structure of Tb2Y3Sc3 (GGA-PBE, Alexandria).

The structure in extended XYZ format:
```
8
Lattice="-0.8834 -3.3341 -3.3686 4.0876 -2.4139 1.3172 -6.7791 -2.3372 7.5412" Properties=species:S:1:pos:R:3 pbc="T T T"
Tb -3.0157 -4.2580 1.5552
Tb -0.5592 -3.8271 3.9346
Y 0.3382 -4.1462 0.5650
Y -3.9131 -3.9390 4.9249
Y -0.4417 -1.6670 -1.6843
Sc -1.2822 -1.2907 1.6137
Sc 2.0438 -1.2069 0.6586
Sc -2.2927 -6.7945 3.8761
```

## Properties
Space group: Immm (71)
Crystal system: orthorhombic
Formation energy: 0.055 eV per atom
Polymorph energy (0 for the lowest one): 0.18 eV/f.u.

***

No. 6
# Tb4Y5Sc4

An optimized crystal structure of Tb4Y5Sc4 (GGA-PBE, Alexandria).

The structure in extended XYZ format:
```
13
Lattice="4.7629 0.0000 1.2110 2.3814 8.8548 0.6055 0.1995 0.0000 9.1873" Properties=species:S:1:pos:R:3 pbc="T T T"
Tb 5.6245 4.0685 7.7938
Tb 3.7603 2.6873 5.1540
Tb 1.7192 4.7863 3.2099
Tb 3.5835 6.1675 5.8497
Y 5.4742 7.5187 8.3852
Y 1.8696 1.3362 2.6186
Y 0.0000 0.0000 0.0000
Y 4.4336 6.7777 2.5059
Y 2.9102 2.0771 8.4978
Sc 4.5959 3.4394 1.8678
Sc 2.7479 5.4154 9.1359
Sc 6.2968 8.1771 5.1498
Sc 1.0470 0.6777 5.8539
```

## Properties
Space group: I4/m (87)
Crystal system: tetragonal
Formation energy: 0.049 eV per atom

***

No. 7
# Tb6Y12Sc

An optimized crystal structure of Tb6Y12Sc (GGA-PBE, Alexandria).

The structure in extended XYZ format:
```
19
Lattice="9.3155 -1.8276 -2.6423 -2.9459 9.0244 -2.6423 -1.6175 -1.8276 9.5469" Properties=species:S:1:pos:R:3 pbc="T T T"
Tb 4.1616 0.7748 3.7327
Tb 3.7393 4.2249 -0.1425
Tb 0.2634 4.2249 3.7327
Tb 1.0128 1.1444 4.4049
Tb 0.5905 4.5945 0.5296
Tb 4.4887 1.1444 0.5296
Y 7.0916 -1.4889 2.1312
Y -0.8790 7.5045 -0.7884
Y 0.0348 0.0393 7.5966
Y -2.8036 5.3299 5.0508
Y 4.7173 5.3299 -3.3343
Y 5.6311 -2.1352 5.0508
Y 1.8652 6.8582 -2.5567
Y -1.8287 2.6846 6.8190
Y -2.3396 6.8582 2.1312
Y 2.8869 -1.4889 6.8190
Y 6.5808 2.6846 -2.5567
Y 7.5557 0.0393 -0.7884
Sc 0.0000 0.0000 0.0000
```

## Properties
Space group: R-3m (166)
Crystal system: trigonal
Formation energy: 0.375 eV per atom

***

No. 8
# TbY4Sc5

An optimized crystal structure of TbY4Sc5 (GGA-PBE, Alexandria).

The structure in extended XYZ format:
```
10
Lattice="-0.4760 -2.8022 1.8313 10.7529 -1.3303 0.7735 -2.3444 5.9323 5.3485" Properties=species:S:1:pos:R:3 pbc="T T T"
Tb -0.2380 -1.4011 0.9156
Y 7.7257 -1.4713 2.8958
Y 5.1380 1.3755 6.5791
Y 0.2067 3.2711 5.0574
Y 2.7944 0.4243 1.3742
Sc 5.5513 1.1022 3.1460
Sc -0.1291 1.6392 2.4749
Sc 8.0615 0.1606 5.4784
Sc 5.1384 -2.0662 1.3024
Sc 2.3811 0.6976 4.8072
```

## Properties
Space group: C2/m (12)
Crystal system: monoclinic
Formation energy: 0.092 eV per atom
Polymorph energy (0 for the lowest one): 0.00 eV/f.u.